Compound: BeZn2Mo
Source: Alexandria via LeMat-Bulk
Functional: PBE
Structure: optimized geometry

Properties
- Calculated formation energy: 0.2190 eV per atom
- Final energy: -0.298 Ry per atom

The structure in CIF format:
```
data_BeZn2Mo
_cell_length_a 2.746
_cell_length_b 4.475
_cell_length_c 8.758
_cell_angle_alpha 90.00
_cell_angle_beta 90.00
_cell_angle_gamma 90.00
_space_group_name_H-M_alt 'I m m 2'
_space_group_IT_number 44
_space_group_name_Hall 'I 2 -2'
loop_
_atom_site_label
_atom_site_type_symbol
_atom_site_fract_x
_atom_site_fract_y
_atom_site_fract_z
_atom_site_occupancy
Be1 Be 0.000 0.000 0.000 1
Zn1 Zn 0.000 0.000 0.483 1
Zn2 Zn 0.000 0.500 0.726 1
Mo1 Mo 0.000 0.500 0.259 1
```